The following is a DFT calculation (GGA-PBE) of a geometry-optimized BaLaBe2 structure. Values from VASP.

Output
Offset from the most stable computed form in meV per atom: 68
ΔH_f (0 K) in eV/atom: 0.3213
Space-group type: Amm2, No. 38

Cell and atoms, written as Quantum ESPRESSO input:
```
&SYSTEM
  ibrav = 0, nat = 4, ntyp = 3
/
ATOMIC_SPECIES
Ba 137.33 Ba.upf
La 138.91 La.upf
Be 9.01 Be.upf
CELL_PARAMETERS angstrom
4.0661 0.0000 0.0000
0.0000 1.8545 7.6952
0.0000 -1.8545 7.6952
ATOMIC_POSITIONS crystal
Ba 0.0000 0.0000 0.0000
La 0.5000 0.2695 0.2695
Be 0.0000 0.6762 0.6762
Be 0.5000 0.6293 0.6293
```


The following is a DFT calculation (GGA-PBE) of a geometry-optimized BaNaPRu structure. Values from VASP.

Output
ΔH_f (0 K) in eV/atom: -0.5787
Space-group type: P4/nmm, No. 129

Cell and atoms, written as Quantum ESPRESSO input:
```
&SYSTEM
  ibrav = 0, nat = 8, ntyp = 4
/
ATOMIC_SPECIES
Ba 137.33 Ba.upf
Na 22.99 Na.upf
P 30.97 P.upf
Ru 101.07 Ru.upf
CELL_PARAMETERS angstrom
4.1361 0.0000 0.0000
0.0000 4.1361 0.0000
0.0000 0.0000 13.0573
ATOMIC_POSITIONS crystal
Ba 0.2500 0.2500 0.2149
Ba 0.7500 0.7500 0.7851
Na 0.2500 0.7500 0.5000
Na 0.7500 0.2500 0.5000
P 0.2500 0.2500 0.9125
P 0.7500 0.7500 0.0875
Ru 0.2500 0.7500 0.0000
Ru 0.7500 0.2500 0.0000
```


The following is a DFT calculation (GGA-PBE) of a geometry-optimized BeCu2As structure. Values from VASP.

Output
Offset from the most stable computed form in meV per atom: 11
ΔH_f (0 K) in eV/atom: 0.1275
Space-group type: I4/mmm, No. 139

Cell and atoms, written as Quantum ESPRESSO input:
```
&SYSTEM
  ibrav = 0, nat = 4, ntyp = 3
/
ATOMIC_SPECIES
Be 9.01 Be.upf
Cu 63.55 Cu.upf
As 74.92 As.upf
CELL_PARAMETERS angstrom
-1.8026 1.8026 3.8584
1.8026 -1.8026 3.8584
1.8026 1.8026 -3.8584
ATOMIC_POSITIONS crystal
Be 0.0000 0.0000 0.0000
Cu 0.2500 0.7500 0.5000
Cu 0.7500 0.2500 0.5000
As 0.5000 0.5000 0.0000
```


The following is a DFT calculation (GGA-PBE) of a geometry-optimized LiOsBr2 structure. Values from VASP.

Output
Offset from the most stable computed form in meV per atom: 97
Space-group type: R-3m, No. 166

Cell and atoms, written as Quantum ESPRESSO input:
```
&SYSTEM
  ibrav = 0, nat = 4, ntyp = 3
/
ATOMIC_SPECIES
Li 6.94 Li.upf
Os 190.23 Os.upf
Br 79.90 Br.upf
CELL_PARAMETERS angstrom
1.6295 0.9408 8.1768
-1.6295 0.9408 8.1768
0.0000 -1.8816 8.1768
ATOMIC_POSITIONS crystal
Li 0.0000 0.0000 0.0000
Os 0.5000 0.5000 0.5000
Br 0.4017 0.4017 0.4017
Br 0.5983 0.5983 0.5983
```


The following is a DFT calculation (GGA-PBE) of a geometry-optimized Nd2SmHg7 structure. Values from VASP.

Output
ΔH_f (0 K) in eV/atom: -0.3155
Space-group type: P3m1, No. 156

Cell and atoms, written as Quantum ESPRESSO input:
```
&SYSTEM
  ibrav = 0, nat = 10, ntyp = 3
/
ATOMIC_SPECIES
Nd 144.24 Nd.upf
Sm 150.36 Sm.upf
Hg 200.59 Hg.upf
CELL_PARAMETERS angstrom
5.0423 0.0000 0.0000
-2.5212 4.3668 0.0000
0.0000 0.0000 12.1903
ATOMIC_POSITIONS crystal
Nd 0.0000 0.0000 0.0000
Nd 0.3333 0.6667 0.6306
Sm 0.6667 0.3333 0.3647
Hg 0.0000 0.0000 0.2606
Hg 0.0000 0.0000 0.4988
Hg 0.0000 0.0000 0.7393
Hg 0.3333 0.6667 0.1973
Hg 0.3333 0.6667 0.9068
Hg 0.6667 0.3333 0.0935
Hg 0.6667 0.3333 0.8055
```


The following is a DFT calculation (GGA-PBE) of a geometry-optimized Tb2Nd5Sm5 structure. Values from VASP.

Output
ΔH_f (0 K) in eV/atom: 0.0145
Space-group type: C2/m, No. 12

Cell and atoms, written as Quantum ESPRESSO input:
```
&SYSTEM
  ibrav = 0, nat = 12, ntyp = 3
/
ATOMIC_SPECIES
Tb 158.93 Tb.upf
Nd 144.24 Nd.upf
Sm 150.36 Sm.upf
CELL_PARAMETERS angstrom
7.7256 -2.5723 0.0000
7.7256 2.5723 0.0000
-5.1463 0.0000 10.2989
ATOMIC_POSITIONS crystal
Tb 0.0834 0.0834 0.2511
Tb 0.9166 0.9166 0.7489
Nd 0.0000 0.0000 0.5000
Nd 0.1653 0.1653 0.9994
Nd 0.2509 0.2509 0.7499
Nd 0.7491 0.7491 0.2501
Nd 0.8347 0.8347 0.0006
Sm 0.3329 0.3329 0.4998
Sm 0.4179 0.4179 0.2506
Sm 0.5000 0.5000 0.0000
Sm 0.5821 0.5821 0.7494
Sm 0.6671 0.6671 0.5002
```